(1)
Here is crystalline SrH2Cl2O at its relaxed geometry from Alexandria via LeMat-Bulk. Energies are from PBE.

Summary:
total DFT energy (no corrections)	-4.61	eV per atom
spin magnetization	0.0	μB per cell
space group	Pnma
polymorph energy (0 for the lowest one)	0.00	eV per formula unit

Lattice parameters (Å, degrees): 4.1910 9.1442 10.8098 90.00 90.00 90.00
With the nearest neighbours (Å) after each atom.
Element x y z (fractional)
H1 0.2500 0.8513 0.4188  1 O 0.99
H2 0.7500 0.3513 0.0812  1 O 0.99
H3 0.7500 0.9869 0.6253  1 O 0.98
H4 0.7500 0.1487 0.5812  1 O 0.99
H5 0.7500 0.5131 0.1253  1 O 0.98
H6 0.2500 0.6487 0.9188  1 O 0.99
H7 0.2500 0.4869 0.8747  1 O 0.98
H8 0.2500 0.0131 0.3747  1 O 0.98
Cl1 0.7500 0.1794 0.3786  1 H 2.21
Cl2 0.7500 0.3206 0.8786  1 H 2.21
Cl3 0.2500 0.8206 0.6214  1 H 2.21
Cl4 0.2500 0.6794 0.1214  1 H 2.21
Cl5 0.7500 0.8851 0.8982  3 Sr 2.99-3.13, 3 H 3.02-3.09, 1 O 3.20
Cl6 0.2500 0.1149 0.1018  3 Sr 2.99-3.13, 3 H 3.02-3.09, 1 O 3.20
Cl7 0.2500 0.3851 0.6018  3 Sr 2.99-3.13, 3 H 3.02-3.09, 1 O 3.20
Cl8 0.7500 0.6149 0.3982  3 Sr 2.99-3.13, 3 H 3.02-3.09, 1 O 3.20
O1 0.2500 0.9125 0.3431  2 H 0.98-0.99
O2 0.7500 0.4125 0.1569  2 H 0.98-0.99
O3 0.2500 0.5875 0.8431  2 H 0.98-0.99
O4 0.7500 0.0875 0.6569  2 H 0.98-0.99
Sr1 0.7500 0.5958 0.6873  2 O 2.69, 2 Cl 2.99
Sr2 0.7500 0.9042 0.1873  2 O 2.69, 2 Cl 2.99
Sr3 0.2500 0.0958 0.8127  2 O 2.69, 2 Cl 2.99
Sr4 0.2500 0.4042 0.3127  2 O 2.69, 2 Cl 2.99

---

(2)
Here is crystalline SrHClO at its relaxed geometry from Alexandria via LeMat-Bulk. Energies are from PBE.

Summary:
total DFT energy (no corrections)	-5.10	eV per atom
spin magnetization	0.1	μB per cell
space group	P6_3mc
polymorph energy (0 for the lowest one)	0.00	eV per formula unit

Lattice parameters (Å, degrees): 4.1843 4.1843 10.0723 90.00 90.00 120.00
With the nearest neighbours (Å) after each atom.
Element x y z (fractional)
O1 0.0000 0.0000 0.2633  1 H 0.98
O2 0.0000 0.0000 0.7633  1 H 0.98
H1 0.0000 0.0000 0.3603  1 O 0.98
H2 0.0000 0.0000 0.8603  1 O 0.98
Cl1 0.6667 0.3333 0.5103  3 H 2.85, 4 Sr 3.06-3.15
Cl2 0.3333 0.6667 0.0103  3 H 2.85, 4 Sr 3.06-3.15
Sr1 0.6667 0.3333 0.1972  3 O 2.51
Sr2 0.3333 0.6667 0.6972  3 O 2.51

---

(3)
Here is crystalline SrHClO at its relaxed geometry from Alexandria via LeMat-Bulk. Energies are from PBE.

Summary:
total DFT energy (no corrections)	-5.08	eV per atom
spin magnetization	0.0	μB per cell
space group	Cm
polymorph energy (0 for the lowest one)	0.11	eV per formula unit

Lattice parameters (Å, degrees): 4.1215 4.1218 5.2699 90.08 90.00 120.00
With the nearest neighbours (Å) after each atom.
Element x y z (fractional)
Cl1 0.5715 0.1429 0.4265  3 H 2.90-2.91, 3 Sr 3.02
Sr1 0.9052 0.8104 0.7780  3 O 2.50
H1 0.2390 0.4780 0.1100  1 O 0.98
O1 0.2387 0.4773 0.9246  1 H 0.98

---

(4)
Here is crystalline TaH2ClO at its relaxed geometry from Alexandria via LeMat-Bulk. Energies are from PBE.

Summary:
total DFT energy (no corrections)	-5.52	eV per atom
spin magnetization	0.0	μB per cell
space group	P4/mmm

Lattice parameters (Å, degrees): 3.9943 3.8178 3.9943 90.00 90.00 90.00
With the nearest neighbours (Å) after each atom.
Element x y z (fractional)
O1 0.0000 0.5000 0.0000  2 Ta 1.91
H1 0.5000 0.0000 0.0000  2 Ta 2.00
H2 0.0000 0.0000 0.5000  2 Ta 2.00
Cl1 0.5000 0.5000 0.5000  8 H 2.76, 4 O 2.82
Ta1 0.0000 0.0000 0.0000  2 O 1.91, 4 H 2.00

---

(5)
Here is crystalline Tl2HClO at its relaxed geometry from Alexandria via LeMat-Bulk. Energies are from PBE.

Summary:
total DFT energy (no corrections)	-3.83	eV per atom
spin magnetization	0.0	μB per cell
space group	I4cm

Lattice parameters (Å, degrees): 7.5163 7.5163 6.7599 123.78 123.78 90.00
With the nearest neighbours (Å) after each atom.
Element x y z (fractional)
O1 0.5854 0.5854 0.1708  1 H 0.98
O2 0.0854 0.0854 0.1708  1 H 0.98
Tl1 0.7475 0.7463 0.9939  2 O 2.76
Tl2 0.7463 0.2463 0.9939  2 O 2.76
Tl3 0.2463 0.2475 0.9939  2 O 2.76
Tl4 0.2475 0.7475 0.9939  2 O 2.76
H1 0.7024 0.7024 0.4048  1 O 0.98
H2 0.2024 0.2024 0.4048  1 O 0.98
Cl1 0.2186 0.7186 0.4371  8 Tl 3.23-3.54
Cl2 0.7186 0.2186 0.4371  8 Tl 3.23-3.54

---

(6)
Here is crystalline TmH2ClO2 at its relaxed geometry from Alexandria via LeMat-Bulk. Energies are from PBE.

Summary:
total DFT energy (no corrections)	-5.94	eV per atom
spin magnetization	0.0	μB per cell
space group	P2_1/m

Lattice parameters (Å, degrees): 3.5383 6.2695 6.6133 75.98 90.00 90.00
With the nearest neighbours (Å) after each atom.
Element x y z (fractional)
H1 0.7500 0.3795 0.3047  1 O 0.98
H2 0.7500 0.8748 0.7641  1 O 0.98
H3 0.2500 0.1252 0.2359  1 O 0.98
H4 0.2500 0.6205 0.6953  1 O 0.98
Tm1 0.7500 0.2765 0.8972  6 O 2.30-2.38
Tm2 0.2500 0.7235 0.1028  6 O 2.30-2.38
Cl1 0.7500 0.7740 0.4199  4 H 2.51-2.76
Cl2 0.2500 0.2260 0.5801  4 H 2.51-2.76
O1 0.2500 0.1053 0.0934  1 H 0.98
O2 0.7500 0.4613 0.1583  1 H 0.98
O3 0.2500 0.5387 0.8417  1 H 0.98
O4 0.7500 0.8947 0.9066  1 H 0.98

---

(7)
Here is crystalline TmH2ClO2 at its relaxed geometry from Alexandria via LeMat-Bulk. Energies are from PBE.

Summary:
total DFT energy (no corrections)	-5.94	eV per atom
spin magnetization	0.0	μB per cell
space group	Pnma

Lattice parameters (Å, degrees): 3.5396 6.2769 12.7912 90.00 90.00 90.00
With the nearest neighbours (Å) after each atom.
Element x y z (fractional)
H1 0.7500 0.6865 0.1183  1 O 0.98
H2 0.2500 0.5425 0.6527  1 O 0.98
H3 0.7500 0.0425 0.8473  1 O 0.98
H4 0.2500 0.9575 0.1527  1 O 0.98
H5 0.2500 0.1865 0.3817  1 O 0.98
H6 0.2500 0.3135 0.8817  1 O 0.98
H7 0.7500 0.8135 0.6183  1 O 0.98
H8 0.7500 0.4575 0.3473  1 O 0.98
Tm1 0.2500 0.7502 0.9485  6 O 2.30-2.38
Tm2 0.2500 0.7498 0.4485  6 O 2.30-2.38
Tm3 0.7500 0.2502 0.5515  6 O 2.30-2.38
Tm4 0.7500 0.2498 0.0515  6 O 2.30-2.38
O1 0.2500 0.0018 0.0793  1 H 0.98
O2 0.2500 0.4982 0.5793  1 H 0.98
O3 0.2500 0.1291 0.4530  1 H 0.98
O4 0.7500 0.6291 0.0470  1 H 0.98
O5 0.7500 0.9982 0.9207  1 H 0.98
O6 0.2500 0.3709 0.9530  1 H 0.98
O7 0.7500 0.5018 0.4207  1 H 0.98
O8 0.7500 0.8709 0.5470  1 H 0.98
Cl1 0.2500 0.1203 0.7107  4 H 2.50-2.75
Cl2 0.7500 0.6203 0.7893  4 H 2.50-2.75
Cl3 0.7500 0.8797 0.2893  4 H 2.50-2.75
Cl4 0.2500 0.3797 0.2107  4 H 2.50-2.75

---

(8)
Here is crystalline UH2Cl2O3 at its relaxed geometry from Alexandria via LeMat-Bulk. Energies are from PBE.

Summary:
total DFT energy (no corrections)	-6.43	eV per atom
spin magnetization	0.0	μB per cell
space group	P2_1/m

Lattice parameters (Å, degrees): 8.7558 5.9672 6.2014 73.88 90.00 90.00
With the nearest neighbours (Å) after each atom.
Element x y z (fractional)
U1 0.7500 0.0738 0.9081  2 O 1.78
U2 0.2500 0.9262 0.0919  2 O 1.78
O1 0.2500 0.6296 0.4617  2 H 0.98
O2 0.2500 0.7046 0.9494  1 U 1.78
O3 0.2500 0.1510 0.2304  1 U 1.78
O4 0.7500 0.3704 0.5383  2 H 0.98
O5 0.7500 0.2954 0.0506  1 U 1.78
O6 0.7500 0.8490 0.7696  1 U 1.78
Cl1 0.9489 0.8075 0.2372  1 H 2.37
Cl2 0.5511 0.8075 0.2372  1 H 2.37
Cl3 0.0511 0.1925 0.7628  1 H 2.37
Cl4 0.4489 0.1925 0.7628  1 H 2.37
H1 0.3390 0.5411 0.5355  1 O 0.98
H2 0.8390 0.4589 0.4645  1 O 0.98
H3 0.1610 0.5411 0.5355  1 O 0.98
H4 0.6610 0.4589 0.4645  1 O 0.98